The following is a PBE with a Hubbard U calculation of an optimized crystal structure of AgMoO3, from the Alexandria database.

Computed properties:
For the volume, the calculation gives 12.22 A^3/atom. The electronic total energy is -6.0029 eV per atom.

Lattice parameters (Å, degrees): 3.9383 3.9383 3.9383 90.00 90.00 90.00
Space group Pm-3m (No. 221)
Unique sites:
Ag (0.0000, 0.0000, 0.0000) [1 per cell]
Mo (0.5000, 0.5000, 0.5000) [1 per cell]
O (0.0000, 0.5000, 0.5000) [3 per cell]